Sr4TeS3 | PBE | relaxed

The structure in extended XYZ format:
```
8
Lattice="-0.479 -0.507 4.336 -0.947 -3.955 1.656 13.638 -4.353 3.222" Properties=species:S:1:pos:R:3 pbc="T T T"
S 6.106 -4.408 4.607
Sr 3.952 -5.555 6.459
Sr 11.137 -5.429 5.044
Te 0.000 0.000 0.000
S 3.223 -2.238 2.318
Sr 8.259 -3.261 2.756
Sr 1.074 -3.386 4.170
S 8.988 -6.577 6.896
```

Formation energy from raw total energies: -195.0 kJ per mole of atoms
Total DFT energy (no corrections): -4.803 eV per atom
Spin magnetization: 0.000 μB per cell